## Tb3Sm2Tm2 (PBE)

Data for a relaxed Tb3Sm2Tm2 crystal.

Results
The formation energy is 0.018 eV/atom. The calculation puts the polymorph energy (0 for the lowest one) at 0.00 eV/f.u. Its space-group type is No. 12.

Structure (POSCAR):
```
Tb3Sm2Tm2
1.0
3.494 -0.460 0.488
-0.568 11.611 2.060
1.142 1.170 5.929
Tb Sm Tm
3 2 2
Direct
0.000 0.000 0.000 Tb
0.572 0.430 0.285 Tb
0.428 0.570 0.715 Tb
0.859 0.144 0.426 Sm
0.141 0.856 0.574 Sm
0.717 0.288 0.854 Tm
0.283 0.712 0.146 Tm
```